# CuAg3Cl6

Crystalline CuAg3Cl6 at its relaxed geometry (PBE, the Alexandria database).

Computed properties:
Space-group type: P2_1/c
Polymorph energy (0 for the lowest one), kcal/mol of atoms: 0.00
V, Å³ per atom: 26.8
DOS(E_F), states/eV per cell: 11.04
ΔE_f (raw), eV/atom: -0.4317

Cell lengths 6.807, 6.893, 12.027 Å; angles 90.00, 108.25, 90.00 degrees
Positions (direct):
Cu  0.000  0.000  0.000
Cu  0.000  0.500  0.500
Ag  0.276  0.102  0.773
Ag  0.276  0.398  0.273
Ag  0.500  0.000  0.500
Ag  0.500  0.500  0.000
Ag  0.724  0.602  0.727
Ag  0.724  0.898  0.227
Cl  0.022  0.637  0.337
Cl  0.022  0.863  0.837
Cl  0.252  0.213  0.995
Cl  0.252  0.287  0.495
Cl  0.403  0.661  0.156
Cl  0.403  0.839  0.656
Cl  0.597  0.161  0.344
Cl  0.597  0.339  0.844
Cl  0.748  0.713  0.505
Cl  0.748  0.787  0.005
Cl  0.978  0.137  0.163
Cl  0.978  0.363  0.663